# 1
Entry from the Open Quantum Materials Database: a relaxed structure of RePd2 (PBE).

Results
Relative energy among the computed polymorphs = 188.2 kJ/mol of atoms

Cell lengths 7.787, 7.787, 7.787 Å; angles 60.00, 60.00, 60.00 degrees
Fractional positions:
Pd: 0.375 0.875 0.375
Re: 0.500 0.500 0.500
Pd: 0.375 0.375 0.375
Pd: 0.375 0.375 0.875
Pd: 0.875 0.375 0.375
Re: 0.250 0.250 0.250

# 2
Entry from the Open Quantum Materials Database: a relaxed structure of LuUSi (PBE).

Results
Relative energy among the computed polymorphs = 0.0 kJ/mol of atoms

Cell lengths 4.736, 4.736, 4.736 Å; angles 60.00, 60.00, 60.00 degrees
Fractional positions:
Lu: 0.250 0.250 0.250
Si: 0.000 0.000 0.000
U: 0.750 0.750 0.750

# 3
Entry from the Open Quantum Materials Database: a relaxed structure of Tb2PrCu4Sn4 (PBE).

Results
DFT total energy = -4.6013 eV/atom

Cell lengths 8.497, 8.497, 8.497 Å; angles 149.36, 131.18, 58.74 degrees
Fractional positions:
Sn: 0.302 0.500 0.802
Cu: 0.017 0.330 0.687
Cu: 0.358 0.670 0.687
Sn: 0.782 0.782 0.000
Sn: 0.698 0.500 0.198
Pr: 0.000 0.000 0.000
Sn: 0.218 0.218 0.000
Cu: 0.983 0.670 0.313
Tb: 0.368 0.868 0.500
Tb: 0.632 0.132 0.500
Cu: 0.642 0.330 0.313

# 4
Entry from the Open Quantum Materials Database: a relaxed structure of NaPbAu (PBE).

Results
DFT total energy = -2.9962 eV/atom

Cell lengths 7.326, 5.936, 5.894 Å; angles 76.52, 51.99, 51.49 degrees
Fractional positions:
Pb: 0.163 0.837 0.163
Au: 0.750 0.750 0.750
Pb: 0.837 0.163 0.837
Na: 0.339 0.339 0.661
Au: 0.250 0.250 0.250
Na: 0.661 0.661 0.339

# 5
Entry from the Open Quantum Materials Database: a relaxed structure of Li2ZnAu (PBE).

Results
DFT total energy = -2.4577 eV/atom

Cell lengths 3.232, 3.232, 5.696 Å; angles 90.00, 90.00, 90.00 degrees
Fractional positions:
Au: 0.000 0.000 0.000
Li: 0.500 0.500 0.241
Zn: 0.000 0.000 0.500
Li: 0.500 0.500 0.759

# 6
Entry from the Open Quantum Materials Database: a relaxed structure of Ga2SiMo2 (PBE).

Results
Relative energy among the computed polymorphs = 30.0 kJ/mol of atoms

Cell lengths 6.636, 6.636, 6.636 Å; angles 147.37, 147.37, 46.82 degrees
Fractional positions:
Si: 0.000 0.000 0.000
Mo: 0.250 0.750 0.500
Ga: 0.404 0.404 0.000
Mo: 0.750 0.250 0.500
Ga: 0.596 0.596 0.000

What is the formula in the second record?
LuUSi